[1]
A plane-wave DFT calculation with PBE was carried out for a relaxed structure of Pm3TiO.

abc: 4.9189 4.9189 4.9189
angles: 90.00 90.00 90.00
Last column: nearest neighbours and their distance in Å.
Positions (direct):
Pm (0.5000, 0.0000, 0.0000)  2 O 2.46
O (0.0000, 0.0000, 0.0000)  6 Pm 2.46
Pm (0.0000, 0.5000, 0.0000)  2 O 2.46
Pm (0.0000, 0.0000, 0.5000)  2 O 2.46
Ti (0.5000, 0.5000, 0.5000)  12 Pm 3.48

Calculated values
As for the space group: Pm-3m (221). The calculated volume comes out at 119.0 Å³/cell.


[2]
A plane-wave DFT calculation with PBE was carried out for a relaxed structure of PmTiO3.

abc: 3.7893 5.5056 6.4645
angles: 115.20 90.00 90.00
Last column: nearest neighbours and their distance in Å.
Positions (direct):
Pm (0.0000, 0.6528, 0.3056)  5 O 2.39-2.60
O (0.5000, 0.5000, 0.5000)  2 Ti 2.11
Ti (0.5000, 0.1133, 0.2266)  6 O 1.93-2.11
O (0.0000, 0.8574, 0.7149)  2 Ti 1.93
O (0.5000, 0.0000, 0.5000)  2 Ti 2.11
Pm (0.0000, 0.3472, 0.6944)  5 O 2.39-2.60
O (0.5000, 0.7270, 0.0000)  2 Ti 2.00
O (0.0000, 0.1426, 0.2851)  2 Ti 1.93
O (0.5000, 0.2730, 0.0000)  2 Ti 2.00
Ti (0.5000, 0.8867, 0.7734)  6 O 1.93-2.11

Calculated values
As for the space group: Cmmm (65). The calculated volume comes out at 122.0 Å³/cell.


Number 1: uncorrected formation energy -983 meV per atom. Number 2: uncorrected formation energy -2968 meV per atom.